This record from Alexandria via LeMat-Bulk describes a relaxed structure of TlPt2Pb. The functional is PBE.

Geometry as extended XYZ:
```
8
Lattice="-3.0983 3.0983 6.3747 3.0983 -3.0983 6.3747 3.0983 3.0983 -6.3747" Properties=species:S:1:pos:R:3 pbc="T T T"
Tl 0.0000 0.0000 0.0000
Tl 0.0000 3.0983 3.1874
Pt 1.5491 -1.5273 4.7811
Pt 1.5709 1.5491 1.5937
Pt 1.5491 4.6256 -1.5937
Pt 1.5273 1.5491 7.9684
Pb 3.0983 0.0000 3.1874
Pb 0.0000 0.0000 6.3747
```

Computed properties:
Density of states at the Fermi level in states/eV/f.u.: 1.0
VASP energy in eV/atom: -4.30

This record from Alexandria via LeMat-Bulk describes a relaxed structure of LiSi. The functional is PBE.

Geometry as extended XYZ:
```
2
Lattice="2.7496 0.0000 0.0000 -1.3748 2.3812 0.0000 0.0000 0.0000 4.3380" Properties=species:S:1:pos:R:3 pbc="T T T"
Li 0.0000 0.0000 0.0000
Si 0.0000 1.5875 2.1690
```

Computed properties:
Density of states at the Fermi level in states/eV/f.u.: 0.8
Raw formation energy in meV per atom: -8